[1]
AsPOs: optimized geometry, PBEsol.

CIF file:
```
data_AsPOs
_chemical_formula_sum 'As4 P4 Os4'
_cell_length_a 5.838
_cell_length_b 5.838
_cell_length_c 5.838
_cell_angle_alpha 90.00
_cell_angle_beta 90.00
_cell_angle_gamma 90.00
_space_group_name_H-M_alt 'F -4 3 m'
_space_group_IT_number 216
_space_group_name_Hall 'F -4 2 3'
loop_
_atom_site_label
_atom_site_fract_x
_atom_site_fract_y
_atom_site_fract_z
As1 0.000 0.000 0.000
P1 0.250 0.250 0.750
Os1 0.250 0.250 0.250
```

Values from the calculation:
calculated density	9.884	g/cm3
N(E_F)	2.36	states/eV/f.u.
magnetic moment	0.0	μB per formula unit
energy of formation from the pure elements	0.872	eV per atom

=====

[2]
AsPOs: optimized geometry, PBEsol.

CIF file:
```
data_AsPOs
_chemical_formula_sum 'As4 P4 Os4'
_cell_length_a 2.832
_cell_length_b 4.855
_cell_length_c 14.135
_cell_angle_alpha 90.00
_cell_angle_beta 90.00
_cell_angle_gamma 90.00
_space_group_name_H-M_alt 'F m m 2'
_space_group_IT_number 42
_space_group_name_Hall 'F 2 -2'
loop_
_atom_site_label
_atom_site_fract_x
_atom_site_fract_y
_atom_site_fract_z
As1 0.000 0.000 0.000
P1 0.000 0.000 0.711
Os1 0.000 0.000 0.343
```

Values from the calculation:
calculated density	10.122	g/cm3
N(E_F)	2.53	states/eV/f.u.
magnetic moment	0.0	μB per formula unit
energy of formation from the pure elements	0.390	eV per atom

=====

[3]
As2POs: optimized geometry, PBEsol.

CIF file:
```
data_As2POs
_chemical_formula_sum 'As4 P2 Os2'
_cell_length_a 2.857
_cell_length_b 4.837
_cell_length_c 9.348
_cell_angle_alpha 90.00
_cell_angle_beta 90.00
_cell_angle_gamma 90.00
_space_group_name_H-M_alt 'C m m m'
_space_group_IT_number 65
_space_group_name_Hall '-C 2 2'
loop_
_atom_site_label
_atom_site_fract_x
_atom_site_fract_y
_atom_site_fract_z
As1 0.000 0.000 0.227
P1 0.000 0.500 0.500
Os1 0.000 0.500 0.000
```

Values from the calculation:
calculated density	9.539	g/cm3
N(E_F)	2.37	states/eV/f.u.
magnetic moment	0.0	μB per formula unit
energy of formation from the pure elements	0.553	eV per atom

=====

[4]
AsPOs2: optimized geometry, PBEsol.

CIF file:
```
data_AsPOs2
_chemical_formula_sum 'As2 P2 Os4'
_cell_length_a 2.836
_cell_length_b 4.578
_cell_length_c 8.919
_cell_angle_alpha 90.00
_cell_angle_beta 90.00
_cell_angle_gamma 90.00
_space_group_name_H-M_alt 'I m m m'
_space_group_IT_number 71
_space_group_name_Hall '-I 2 2'
loop_
_atom_site_label
_atom_site_fract_x
_atom_site_fract_y
_atom_site_fract_z
As1 0.000 0.000 0.000
P1 0.000 0.000 0.500
Os1 0.000 0.500 0.207
```

Values from the calculation:
calculated density	13.949	g/cm3
N(E_F)	2.46	states/eV/f.u.
magnetic moment	0.0	μB per formula unit
energy of formation from the pure elements	0.465	eV per atom

=====

[5]
AsPOs2: optimized geometry, PBEsol.

CIF file:
```
data_AsPOs2
_chemical_formula_sum 'As1 P1 Os2'
_cell_length_a 2.959
_cell_length_b 2.959
_cell_length_c 6.201
_cell_angle_alpha 90.00
_cell_angle_beta 90.00
_cell_angle_gamma 90.00
_space_group_name_H-M_alt 'P 4/m m m'
_space_group_IT_number 123
_space_group_name_Hall '-P 4 2'
loop_
_atom_site_label
_atom_site_fract_x
_atom_site_fract_y
_atom_site_fract_z
As1 0.000 0.000 0.000
P1 0.000 0.000 0.500
Os1 0.500 0.500 0.277
```

Values from the calculation:
calculated density	14.877	g/cm3
N(E_F)	1.79	states/eV/f.u.
magnetic moment	0.0	μB per formula unit
energy of formation from the pure elements	0.182	eV per atom

=====

[6]
AsPOs: optimized geometry, PBEsol.

CIF file:
```
data_AsPOs
_chemical_formula_sum 'As2 P2 Os2'
_cell_length_a 2.888
_cell_length_b 2.888
_cell_length_c 11.394
_cell_angle_alpha 90.00
_cell_angle_beta 90.00
_cell_angle_gamma 90.00
_space_group_name_H-M_alt 'I 4 m m'
_space_group_IT_number 107
_space_group_name_Hall 'I 4 -2'
loop_
_atom_site_label
_atom_site_fract_x
_atom_site_fract_y
_atom_site_fract_z
As1 0.000 0.000 0.000
P1 0.000 0.000 0.274
Os1 0.000 0.000 0.653
```

Values from the calculation:
calculated density	10.351	g/cm3
N(E_F)	1.13	states/eV/f.u.
magnetic moment	0.0	μB per formula unit
energy of formation from the pure elements	0.074	eV per atom

=====

Copy entry 2 word for word.
AsPOs: optimized geometry, PBEsol.

CIF file:
```
data_AsPOs
_chemical_formula_sum 'As4 P4 Os4'
_cell_length_a 2.832
_cell_length_b 4.855
_cell_length_c 14.135
_cell_angle_alpha 90.00
_cell_angle_beta 90.00
_cell_angle_gamma 90.00
_space_group_name_H-M_alt 'F m m 2'
_space_group_IT_number 42
_space_group_name_Hall 'F 2 -2'
loop_
_atom_site_label
_atom_site_fract_x
_atom_site_fract_y
_atom_site_fract_z
As1 0.000 0.000 0.000
P1 0.000 0.000 0.711
Os1 0.000 0.000 0.343
```

Values from the calculation:
calculated density	10.122	g/cm3
N(E_F)	2.53	states/eV/f.u.
magnetic moment	0.0	μB per formula unit
energy of formation from the pure elements	0.390	eV per atom

=====

Q: What is the energy of formation from the pure elements in the fifth record?
A: 0.182 eV per atom

=====

Q: calculated density of number 3 (As2POs)?
A: 9.539 g/cm3